1.
# KCdSn GGA-PBE relaxed
# DFT total energy, hartree per atom: -0.0802
# DOS(E_F), states/eV per cell: 9.354
# Size of the total moment, μB per formula unit: 0.00
data_KCdSn
_space_group_name_H-M_alt 'P n m a'
_space_group_IT_number 62
_space_group_name_Hall '-P 2ac 2n'
_cell_length_a 8.642
_cell_length_b 5.089
_cell_length_c 8.627
_cell_angle_alpha 90.00
_cell_angle_beta 90.00
_cell_angle_gamma 90.00
loop_
_atom_site_label
_atom_site_type_symbol
_atom_site_fract_x
_atom_site_fract_y
_atom_site_fract_z
_atom_site_occupancy
K1 K 0.003 0.250 0.180 1
Cd1 Cd 0.175 0.750 0.413 1
Sn1 Sn 0.179 0.250 0.593 1

***

2.
# KSrCdSn GGA-PBE relaxed
# DFT total energy, hartree per atom: -0.0792
# DOS(E_F), states/eV per cell: 16.023
# Size of the total moment, μB per formula unit: 0.00
data_KSrCdSn
_space_group_name_H-M_alt 'F -4 3 m'
_space_group_IT_number 216
_space_group_name_Hall 'F -4 2 3'
_cell_length_a 8.180
_cell_length_b 8.180
_cell_length_c 8.180
_cell_angle_alpha 90.00
_cell_angle_beta 90.00
_cell_angle_gamma 90.00
loop_
_atom_site_label
_atom_site_type_symbol
_atom_site_fract_x
_atom_site_fract_y
_atom_site_fract_z
_atom_site_occupancy
K1 K 0.000 0.000 0.000 1
Sr1 Sr 0.000 0.000 0.500 1
Cd1 Cd 0.250 0.250 0.250 1
Sn1 Sn 0.250 0.250 0.750 1

***

3.
# K2Cd2SnTe4 GGA-PBE relaxed
# DFT total energy, hartree per atom: -0.1073
# Size of the total moment, μB per formula unit: 0.00
# Formation energy without anion corrections, eV/f.u.: -5.7
data_K2Cd2SnTe4
_space_group_name_H-M_alt 'C 1 2/m 1'
_space_group_IT_number 12
_space_group_name_Hall '-C 2y'
_cell_length_a 17.170
_cell_length_b 4.641
_cell_length_c 8.608
_cell_angle_alpha 90.00
_cell_angle_beta 109.60
_cell_angle_gamma 90.00
loop_
_atom_site_label
_atom_site_type_symbol
_atom_site_fract_x
_atom_site_fract_y
_atom_site_fract_z
_atom_site_occupancy
K1 K 0.124 0.000 0.056 1
Cd1 Cd 0.170 0.500 0.480 1
Sn1 Sn 0.000 0.000 0.500 1
Te1 Te 0.012 0.500 0.245 1
Te2 Te 0.205 0.000 0.696 1

***

4.
# KCdSnTe3 GGA-PBE relaxed
# DFT total energy, hartree per atom: -0.1127
# DOS(E_F), states/eV per cell: 5.378
# Size of the total moment, μB per formula unit: 0.00
# Formation energy without anion corrections, eV/f.u.: -3.0
data_KCdSnTe3
_space_group_name_H-M_alt 'P 1 21/m 1'
_space_group_IT_number 11
_space_group_name_Hall '-P 2yb'
_cell_length_a 9.824
_cell_length_b 4.378
_cell_length_c 10.658
_cell_angle_alpha 90.00
_cell_angle_beta 105.50
_cell_angle_gamma 90.00
loop_
_atom_site_label
_atom_site_type_symbol
_atom_site_fract_x
_atom_site_fract_y
_atom_site_fract_z
_atom_site_occupancy
K1 K 0.205 0.250 0.253 1
Cd1 Cd 0.080 0.250 0.615 1
Sn1 Sn 0.336 0.750 0.885 1
Te1 Te 0.115 0.250 0.890 1
Te2 Te 0.222 0.750 0.530 1
Te3 Te 0.464 0.750 0.168 1

***

5.
# KTiCdSn2 GGA-PBE relaxed
# DFT total energy, hartree per atom: -0.1310
# DOS(E_F), states/eV per cell: 2.935
# Size of the total moment, μB per formula unit: 0.00
data_KTiCdSn2
_space_group_name_H-M_alt 'P 4/m m m'
_space_group_IT_number 123
_space_group_name_Hall '-P 4 2'
_cell_length_a 5.330
_cell_length_b 5.330
_cell_length_c 5.625
_cell_angle_alpha 90.00
_cell_angle_beta 90.00
_cell_angle_gamma 90.00
loop_
_atom_site_label
_atom_site_type_symbol
_atom_site_fract_x
_atom_site_fract_y
_atom_site_fract_z
_atom_site_occupancy
K1 K 0.000 0.000 0.000 1
Ti1 Ti 0.500 0.500 0.500 1
Cd1 Cd 0.500 0.500 0.000 1
Sn1 Sn 0.000 0.500 0.500 1

***

6.
# KTlCdSn GGA-PBE relaxed
# DFT total energy, hartree per atom: -0.0793
# DOS(E_F), states/eV per cell: 5.609
# Size of the total moment, μB per formula unit: 0.00
data_KTlCdSn
_space_group_name_H-M_alt 'F -4 3 m'
_space_group_IT_number 216
_space_group_name_Hall 'F -4 2 3'
_cell_length_a 7.798
_cell_length_b 7.798
_cell_length_c 7.798
_cell_angle_alpha 90.00
_cell_angle_beta 90.00
_cell_angle_gamma 90.00
loop_
_atom_site_label
_atom_site_type_symbol
_atom_site_fract_x
_atom_site_fract_y
_atom_site_fract_z
_atom_site_occupancy
K1 K 0.000 0.000 0.000 1
Tl1 Tl 0.250 0.250 0.750 1
Cd1 Cd 0.250 0.250 0.250 1
Sn1 Sn 0.000 0.000 0.500 1